8
Lattice="-7.247 0.246 -2.549 -5.631 -1.873 3.812 -0.760 3.237 0.391" Properties=species:S:1:pos:R:3 comment="MnHSe2, relaxed, DFT PBE" space_group="P1 (1)" energy_ha_per_atom=-0.185 de_polymorph_ev_per_atom=0.069 pbc="T T T"
H -8.425 -0.642 2.750
H -7.870 1.639 -0.746
Mn -6.650 1.809 0.213
Mn -7.140 -0.245 1.944
Se -5.920 0.477 -1.671
Se -4.993 0.349 1.188
Se -8.750 1.219 1.025
Se -1.629 3.098 0.059